# SiAuC3

A PBEsol-optimized structure of SiAuC3 (SCAN, Alexandria).

Unit cell a=4.0472 b=4.0472 c=4.0472 alpha=90.00 beta=90.00 gamma=90.00
Last column: nearest neighbours and their distance in Å.
Atoms (fractional coordinates):
Si1 0.0000 0.0000 0.0000  12 C 2.86
Au1 0.5000 0.5000 0.5000  6 C 2.02
C1 0.0000 0.5000 0.5000  2 Au 2.02
C2 0.5000 0.0000 0.5000  2 Au 2.02
C3 0.5000 0.5000 0.0000  2 Au 2.02

Calculated values
Its space group is Pm-3m, No. 221. The formation energy without anion corrections is 3.31 eV/atom. The value obtained for the calculated volume is 66.29 Å³ per cell. The total energy is -18.59 eV per atom.